Computed, not measured: NdPaFe2O8 after structural relaxation at the PBE+U level of DFT.

crystal system	tetragonal
energy	-0.2821	hartree per atom
magnetic moment	7.996	μB per formula unit

a b c (Å): 6.0693 6.0693 6.0693
angles (deg): 107.48 107.48 113.53
Closest atoms and distances in Å follow each position.
Sites, in units of the cell vectors:
1 Nd 0.0000 0.0000 0.0000  8 O 2.39-2.50
2 Pa 0.7500 0.2500 0.5000  8 O 2.20-2.43
3 Fe 0.2500 0.7500 0.5000  4 O 1.75
4 Fe 0.5000 0.5000 0.0000  4 O 1.90
5 O 0.0647 0.3924 0.3277  1 Fe 1.75
6 O 0.0647 0.7369 0.6723  1 Fe 1.75
7 O 0.1119 0.3099 0.8020  1 Fe 1.90
8 O 0.2631 0.9353 0.3277  1 Fe 1.75
9 O 0.5078 0.3099 0.1980  1 Fe 1.90
10 O 0.6076 0.9353 0.6723  1 Fe 1.75
11 O 0.6901 0.4922 0.8020  1 Fe 1.90
12 O 0.6901 0.8881 0.1980  1 Fe 1.90